A relaxed ErNpCo4 crystal. Source: Alexandria via LeMat-Bulk, functional PBE.

a b c (Å): 5.0033 5.0033 5.0033
angles (deg): 60.00 60.00 60.00
With the nearest neighbours (Å) after each atom.
Fractional positions:
Er 0.0000 0.0000 0.0000  12 Co 2.93, 4 Np 3.06
Np 0.7500 0.7500 0.7500  12 Co 2.93, 4 Er 3.06
Co 0.3753 0.3753 0.3753  6 Co 2.50-2.51
Co 0.3753 0.3753 0.8742  6 Co 2.50-2.51
Co 0.3753 0.8742 0.3753  6 Co 2.50-2.51
Co 0.8742 0.3753 0.3753  6 Co 2.50-2.51

Output
Calculated formation energy ... -0.81 eV/f.u.
Fermi-level density of states ... 1.194 states/eV per atom
SG ... F-43m (216)


A relaxed AcThTe3 crystal. Source: Alexandria via LeMat-Bulk, functional PBE.

a b c (Å): 8.4878 4.5705 18.0697
angles (deg): 90.00 90.00 90.00
With the nearest neighbours (Å) after each atom.
Fractional positions:
Ac 0.1107 0.2500 0.1966  6 Te 3.32-3.36
Ac 0.3893 0.7500 0.6966  6 Te 3.32-3.36
Ac 0.6107 0.2500 0.3034  6 Te 3.32-3.36
Ac 0.8893 0.7500 0.8034  6 Te 3.32-3.36
Th 0.2364 0.7500 0.4573  7 Te 3.21-3.28
Th 0.2636 0.2500 0.9573  7 Te 3.21-3.28
Th 0.7364 0.7500 0.0427  7 Te 3.21-3.28
Th 0.7636 0.2500 0.5427  7 Te 3.21-3.28
Te 0.9999 0.2500 0.3988  3 Th 3.22-3.28
Te 0.0001 0.7500 0.6012  3 Th 3.22-3.28
Te 0.1210 0.7500 0.0624  3 Th 3.21-3.28, 2 Ac 3.33
Te 0.1762 0.2500 0.7842  1 Th 3.22, 4 Ac 3.32-3.36
Te 0.3238 0.7500 0.2842  1 Th 3.22, 4 Ac 3.32-3.36
Te 0.3790 0.2500 0.5624  3 Th 3.21-3.28, 2 Ac 3.33
Te 0.4999 0.2500 0.1012  3 Th 3.22-3.28
Te 0.5001 0.7500 0.8988  3 Th 3.22-3.28
Te 0.6210 0.7500 0.4376  3 Th 3.21-3.28, 2 Ac 3.33
Te 0.6762 0.2500 0.7158  1 Th 3.22, 4 Ac 3.32-3.36
Te 0.8238 0.7500 0.2158  1 Th 3.22, 4 Ac 3.32-3.36
Te 0.8790 0.2500 0.9376  3 Th 3.21-3.28, 2 Ac 3.33

Output
Fermi-level density of states ... 0.535 states/eV per atom
SG ... Pnma (62)
Uncorrected formation energy ... -1382 meV/atom


A relaxed Ac9NdSm2 crystal. Source: Alexandria via LeMat-Bulk, functional PBE.

a b c (Å): 5.5206 5.5206 16.5613
angles (deg): 90.00 90.00 90.00
With the nearest neighbours (Å) after each atom.
Fractional positions:
Ac 0.0000 0.0000 0.0000  4 Nd 3.90, 8 Ac 3.91
Ac 0.0000 0.0000 0.3338  8 Ac 3.90, 4 Sm 3.90
Ac 0.0000 0.0000 0.6662  8 Ac 3.90, 4 Sm 3.90
Ac 0.0000 0.5000 0.1674  8 Ac 3.90-3.91, 2 Sm 3.90, 2 Nd 3.91
Ac 0.0000 0.5000 0.5000  4 Sm 3.90, 8 Ac 3.90
Ac 0.0000 0.5000 0.8326  8 Ac 3.90-3.91, 2 Sm 3.90, 2 Nd 3.91
Ac 0.5000 0.0000 0.1674  8 Ac 3.90-3.91, 2 Sm 3.90, 2 Nd 3.91
Ac 0.5000 0.0000 0.5000  4 Sm 3.90, 8 Ac 3.90
Ac 0.5000 0.0000 0.8326  8 Ac 3.90-3.91, 2 Sm 3.90, 2 Nd 3.91
Nd 0.5000 0.5000 0.0000  12 Ac 3.90-3.91
Sm 0.5000 0.5000 0.3339  12 Ac 3.90
Sm 0.5000 0.5000 0.6661  12 Ac 3.90

Output
Calculated formation energy ... 0.30 eV/f.u.
Fermi-level density of states ... 1.668 states/eV per atom
SG ... P4/mmm (123)


A relaxed HfPa2Ta crystal. Source: Alexandria via LeMat-Bulk, functional PBE.

a b c (Å): 5.2821 5.2821 5.2821
angles (deg): 55.36 55.36 55.36
With the nearest neighbours (Å) after each atom.
Fractional positions:
Hf 0.0000 0.0000 0.0000  8 Pa 3.05-3.32
Pa 0.2485 0.2485 0.2485  4 Ta 3.04-3.36, 4 Hf 3.05-3.32
Pa 0.7515 0.7515 0.7515  4 Ta 3.04-3.36, 4 Hf 3.05-3.32
Ta 0.5000 0.5000 0.5000  8 Pa 3.04-3.36

Output
Calculated formation energy ... 1.49 eV/f.u.
Fermi-level density of states ... 2.200 states/eV per atom
SG ... R-3m (166)


A relaxed Ta4Rh2S crystal. Source: Alexandria via LeMat-Bulk, functional PBE.

a b c (Å): 7.2278 7.2278 7.2278
angles (deg): 143.92 143.92 51.94
With the nearest neighbours (Å) after each atom.
Fractional positions:
Ta 0.0000 0.5000 0.5000  2 S 2.24
Ta 0.1856 0.1856 0.0000  1 S 2.41, 1 Rh 2.44
Ta 0.5000 0.0000 0.5000  2 S 2.24
Ta 0.8144 0.8144 0.0000  1 S 2.41, 1 Rh 2.44
Rh 0.3731 0.3731 0.0000  1 Ta 2.44
Rh 0.6269 0.6269 0.0000  1 Ta 2.44
S 0.0000 0.0000 0.0000  6 Ta 2.24-2.41

Output
Fermi-level density of states ... 0.822 states/eV per atom
SG ... I4/mmm (139)
Uncorrected formation energy ... 186 meV/atom


A relaxed HoInRh crystal. Source: Alexandria via LeMat-Bulk, functional PBE.

a b c (Å): 4.6896 4.6896 3.3728
angles (deg): 90.00 90.00 120.00
With the nearest neighbours (Å) after each atom.
Fractional positions:
Ho 0.0000 0.0000 0.0000  6 Rh 3.19, 6 In 3.19, 2 Ho 3.37
In 0.3333 0.6667 0.4999  3 Rh 2.71
Rh 0.6667 0.3333 0.5017  3 In 2.71

Output
Calculated formation energy ... -1.67 eV/f.u.
Fermi-level density of states ... 0.625 states/eV per atom
SG ... P3m1 (156)


A relaxed HOsSe3 crystal. Source: Alexandria via LeMat-Bulk, functional PBE.

a b c (Å): 4.9213 4.9213 4.9213
angles (deg): 90.00 90.00 90.00
With the nearest neighbours (Å) after each atom.
Fractional positions:
H 0.0000 0.0000 0.0000  12 Se 3.48
Os 0.5000 0.5000 0.5000  6 Se 2.46
Se 0.0000 0.5000 0.5000  2 Os 2.46
Se 0.5000 0.0000 0.5000  2 Os 2.46
Se 0.5000 0.5000 0.0000  2 Os 2.46

Output
Calculated total energy ... -3.980 eV per atom
Fermi-level density of states ... 1.155 states/eV per atom
SG ... Pm-3m (221)


A relaxed TaZnRu crystal. Source: Alexandria via LeMat-Bulk, functional PBE.

a b c (Å): 4.2848 4.2848 4.2848
angles (deg): 60.00 60.00 60.00
With the nearest neighbours (Å) after each atom.
Fractional positions:
Ta 0.0000 0.0000 0.0000  4 Ru 2.62, 4 Zn 2.62
Zn 0.2500 0.2500 0.2500  4 Ta 2.62
Ru 0.7500 0.7500 0.7500  4 Ta 2.62

Output
Calculated formation energy ... 1.55 eV/f.u.
Fermi-level density of states ... 1.116 states/eV per atom
SG ... F-43m (216)


The lowest Fermi-level density of states belongs to which entry? AcThTe3